A geometry-optimized MgMoOF2 structure. Source: Alexandria, functional GGA+U.

abc: 3.736 3.736 4.406
angles: 90.00 90.00 90.00
Space group P4/mmm (No. 123)
Inequivalent atoms, fractional coordinates:
Mg: 0.000 0.000 0.000 (multiplicity 1)
Mo: 0.500 0.500 0.500 (multiplicity 1)
O: 0.000 0.000 0.500 (multiplicity 1)
F: 0.000 0.500 0.000 (multiplicity 2)

Properties
DOS(E_F), states/eV/atom: 0.0000
E above lowest polymorph, eV/atom: 0.000
Total DFT energy (no corrections), eV/atom: -5.521
Spin magnetization, μB per cell: 4.0